# 1
A plane-wave DFT calculation with PBE-GGA was carried out for a relaxed structure of Mg2AsSe.

## Properties
SG = No. 123
Total magnetization = 0.000 Bohr magnetons per cell
Density of states at the Fermi level = 2.848 states/eV per cell
ΔE_f (raw) = -712 meV per atom

a b c (Å): 3.883 3.883 5.593
angles (deg): 90.00 90.00 90.00
Fractional positions:
Mg: 0.000 0.000 0.000
Mg: 0.500 0.500 0.500
As: 0.000 0.000 0.500
Se: 0.500 0.500 0.000

# 2
A plane-wave DFT calculation with PBE-GGA was carried out for a relaxed structure of Pr2SmYTh.

## Properties
SG = No. 13
Total magnetization = 0.000 Bohr magnetons per cell
Density of states at the Fermi level = 17.985 states/eV per cell
Total DFT energy (no corrections) = -0.1982 hartree per atom

a b c (Å): 6.405 8.482 6.664
angles (deg): 90.00 101.70 90.00
Fractional positions:
Pr: 0.220 0.175 0.164
Pr: 0.220 0.825 0.664
Pr: 0.780 0.175 0.336
Pr: 0.780 0.825 0.836
Sm: 0.500 0.162 0.750
Sm: 0.500 0.838 0.250
Y: 0.000 0.409 0.750
Y: 0.000 0.591 0.250
Th: 0.500 0.500 0.000
Th: 0.500 0.500 0.500

# 3
A plane-wave DFT calculation with PBE-GGA was carried out for a relaxed structure of GdYHoTh.

## Properties
SG = No. 216
Total magnetization = 8.493 Bohr magnetons per cell
Density of states at the Fermi level = 8.229 states/eV per cell
Total DFT energy (no corrections) = -0.2933 hartree per atom

a b c (Å): 5.678 5.678 5.678
angles (deg): 60.00 60.00 60.00
Fractional positions:
Gd: 0.000 0.000 0.000
Y: 0.250 0.250 0.250
Ho: 0.500 0.500 0.500
Th: 0.750 0.750 0.750

# 4
A plane-wave DFT calculation with PBE-GGA was carried out for a relaxed structure of Cs2CeY3O8.

## Properties
SG = No. 160
Total magnetization = 1.170 Bohr magnetons per cell
Density of states at the Fermi level = 11.310 states/eV per cell
ΔE_f (raw) = -2817 meV per atom

a b c (Å): 8.258 8.258 8.258
angles (deg): 50.38 50.38 50.38
Fractional positions:
Cs: 0.000 0.000 0.000
Cs: 0.348 0.348 0.348
Ce: 0.517 0.517 0.517
Y: 0.000 0.000 0.505
Y: 0.000 0.505 0.000
Y: 0.505 0.000 0.000
O: 0.215 0.728 0.728
O: 0.217 0.217 0.217
O: 0.298 0.298 0.776
O: 0.298 0.776 0.298
O: 0.728 0.215 0.728
O: 0.728 0.728 0.215
O: 0.776 0.298 0.298
O: 0.787 0.787 0.787

# 5
A plane-wave DFT calculation with PBE-GGA was carried out for a relaxed structure of NaEuNbSbO6.

## Properties
SG = No. 216
Total magnetization = 6.944 Bohr magnetons per cell
Density of states at the Fermi level = 15.314 states/eV per cell
ΔE_f (raw) = -2102 meV per atom

a b c (Å): 5.824 5.824 5.824
angles (deg): 60.00 60.00 60.00
Fractional positions:
Na: 0.000 0.000 0.000
Eu: 0.500 0.500 0.500
Nb: 0.250 0.250 0.250
Sb: 0.750 0.750 0.750
O: 0.006 0.006 0.494
O: 0.006 0.494 0.006
O: 0.006 0.494 0.494
O: 0.494 0.006 0.006
O: 0.494 0.006 0.494
O: 0.494 0.494 0.006

# 6
A plane-wave DFT calculation with PBE-GGA was carried out for a relaxed structure of SmTm5Se6.

## Properties
SG = No. 12
Total magnetization = 0.000 Bohr magnetons per cell
Density of states at the Fermi level = 5.149 states/eV per cell
ΔE_f (raw) = -1687 meV per atom

a b c (Å): 6.998 6.998 7.025
angles (deg): 99.49 99.49 120.31
Fractional positions:
Sm: 0.000 0.000 0.000
Tm: 0.159 0.841 0.500
Tm: 0.335 0.665 0.000
Tm: 0.500 0.500 0.500
Tm: 0.665 0.335 0.000
Tm: 0.841 0.159 0.500
Se: 0.085 0.429 0.257
Se: 0.259 0.259 0.749
Se: 0.429 0.085 0.257
Se: 0.571 0.915 0.743
Se: 0.741 0.741 0.251
Se: 0.915 0.571 0.743

Question: The highest density of states at the Fermi level belongs to which entry?
Answer: Pr2SmYTh

Question: Among the records above, which one has the highest total magnetization?
Answer: GdYHoTh

Question: Which of these has the highest total magnetization?
Answer: GdYHoTh